# 1
An optimized crystal structure of AcGa2Si. Source: the Alexandria database, functional GGA-PBE.

Summary:
ΔE to the lowest computed polymorph	0.1473	eV per atom
crystal system	trigonal
symmetry	R-3m
density of states at the Fermi level	0.809	states/eV per atom
formation energy from raw total energies	-1.25	eV/f.u.
total magnetic moment	0.00	μB/cell
theoretical density	6.984	g cm⁻³

Unit cell a=4.445 b=4.445 c=16.446 alpha=90.00 beta=90.00 gamma=120.00
Positions (direct):
1 Ac 0.000 0.000 0.000
2 Ac 0.333 0.667 0.667
3 Ac 0.667 0.333 0.333
4 Ga 0.000 0.000 0.211
5 Ga 0.000 0.000 0.789
6 Ga 0.333 0.667 0.455
7 Ga 0.333 0.667 0.878
8 Ga 0.667 0.333 0.122
9 Ga 0.667 0.333 0.545
10 Si 0.000 0.000 0.500
11 Si 0.333 0.667 0.167
12 Si 0.667 0.333 0.833

---

# 2
An optimized crystal structure of Pm5Ho2Tm2. Source: the Alexandria database, functional GGA-PBE.

Summary:
ΔE to the lowest computed polymorph	0.0000	eV per atom
crystal system	monoclinic
formation enthalpy at 0 K	0.02	eV per atom
symmetry	C2/m
density of states at the Fermi level	1.392	states/eV per atom
total magnetic moment	0.00	μB/cell
theoretical density	7.881	g cm⁻³

Unit cell a=6.214 b=6.214 c=10.742 alpha=106.70 beta=106.70 gamma=48.18
Positions (direct):
1 Pm 0.000 0.000 0.000
2 Pm 0.334 0.334 0.112
3 Pm 0.334 0.334 0.445
4 Pm 0.666 0.666 0.555
5 Pm 0.666 0.666 0.888
6 Ho 0.000 0.000 0.333
7 Ho 0.000 0.000 0.667
8 Tm 0.332 0.332 0.776
9 Tm 0.668 0.668 0.224

---

# 3
An optimized crystal structure of AcNiPt. Source: the Alexandria database, functional GGA-PBE.

Summary:
ΔE to the lowest computed polymorph	0.0000	eV per atom
crystal system	hexagonal
formation enthalpy at 0 K	-0.75	eV per atom
symmetry	P6_3/mmc
density of states at the Fermi level	1.026	states/eV per atom
total magnetic moment	0.71	μB/cell
theoretical density	11.616	g cm⁻³

Unit cell a=4.323 b=4.323 c=8.493 alpha=90.00 beta=90.00 gamma=120.00
Positions (direct):
1 Ac 0.000 0.000 0.000
2 Ac 0.000 0.000 0.500
3 Ni 0.333 0.667 0.250
4 Ni 0.667 0.333 0.750
5 Pt 0.333 0.667 0.750
6 Pt 0.667 0.333 0.250

---

# 4
An optimized crystal structure of CsNa2NpO5. Source: the Alexandria database, functional GGA-PBE.

Summary:
crystal system	orthorhombic
symmetry	Immm
formation energy from raw total energies	-20.02	eV/f.u.
total magnetic moment	0.00	μB/cell
theoretical density	5.382	g cm⁻³

Unit cell a=6.646 b=6.646 c=6.646 alpha=140.94 beta=122.53 gamma=71.69
Positions (direct):
1 Cs 0.000 0.000 0.000
2 Na 0.273 0.773 0.500
3 Na 0.727 0.227 0.500
4 Np 0.500 0.500 0.000
5 O 0.157 0.369 0.787
6 O 0.418 0.631 0.787
7 O 0.500 0.000 0.500
8 O 0.582 0.369 0.213
9 O 0.843 0.631 0.213

---

# 5
An optimized crystal structure of PuHfAs2. Source: the Alexandria database, functional GGA-PBE.

Summary:
ΔE to the lowest computed polymorph	0.0864	eV per atom
crystal system	trigonal
formation enthalpy at 0 K	-0.98	eV per atom
symmetry	R3m
density of states at the Fermi level	2.425	states/eV per atom
total magnetic moment	17.03	μB/cell
theoretical density	10.513	g cm⁻³

Unit cell a=3.857 b=3.857 c=21.048 alpha=90.00 beta=90.00 gamma=120.00
Positions (direct):
1 Pu 0.000 0.000 0.000
2 Pu 0.333 0.667 0.667
3 Pu 0.667 0.333 0.333
4 Hf 0.000 0.000 0.829
5 Hf 0.333 0.667 0.495
6 Hf 0.667 0.333 0.162
7 As 0.000 0.000 0.239
8 As 0.000 0.000 0.422
9 As 0.333 0.667 0.089
10 As 0.333 0.667 0.906
11 As 0.667 0.333 0.572
12 As 0.667 0.333 0.756

---

# 6
An optimized crystal structure of Hf2ZrZn. Source: the Alexandria database, functional GGA-PBE.

Summary:
crystal system	tetragonal
formation enthalpy at 0 K	-0.09	eV per atom
symmetry	P4/mmm
density of states at the Fermi level	1.098	states/eV per atom
total magnetic moment	0.00	μB/cell
theoretical density	10.517	g cm⁻³

Unit cell a=4.330 b=4.330 c=4.325 alpha=90.00 beta=90.00 gamma=90.00
Positions (direct):
1 Hf 0.000 0.500 0.000
2 Hf 0.500 0.000 0.000
3 Zr 0.000 0.000 0.500
4 Zn 0.500 0.500 0.500